CrHgO2F: relaxed, PBE with a Hubbard U.

Cell lengths 4.1953, 4.1953, 4.4838 Å; angles 90.00, 90.00, 90.00 degrees
Each line ends with the local moment (μB).
Positions (direct):
Cr (0.5000, 0.5000, 0.5000)  4.23
Hg (0.0000, 0.0000, 0.0000)  -0.04
O (0.0000, 0.5000, 0.0000)  -0.22
O (0.5000, 0.0000, 0.0000)  -0.22
F (0.0000, 0.0000, 0.5000)  0.01

Results
SG	P4/mmm
VASP energy	-4.0478	eV per atom
calculated volume	79	Å³/f.u.